DFT (GGA+U) results for a relaxed structure of K2SmCoO4.

Unit cell a=5.847 b=7.011 c=12.039 alpha=84.19 beta=75.95 gamma=65.36
Atoms (fractional coordinates):
O1 0.587 0.190 0.066
O2 0.223 0.190 0.934
O3 0.163 0.310 0.434
Sm1 0.750 0.500 0.500
O4 0.527 0.310 0.566
Sm2 0.000 0.000 0.000
O5 0.403 0.690 0.434
Co1 0.250 0.500 0.500
K1 0.547 0.500 0.906
O6 0.907 0.690 0.566
K2 0.953 0.500 0.094
Co2 0.500 0.000 0.000
O7 0.843 0.810 0.934
K3 0.797 0.000 0.406
K4 0.203 0.000 0.594
O8 0.347 0.810 0.066

Summary:
Crystal system = orthorhombic
Uncorrected energy = -5.5264 eV/atom
Space group = Fddd, No. 70